1.
SiAuSe2 | PBE | relaxed

a = 6.2758 Å, b = 6.2758 Å, c = 4.8703 Å
α = 106.11°, β = 106.11°, γ = 32.17°
Fractional coordinates of all 4 atoms:
1 Si 0.0000 0.0000 0.0000
2 Au 0.1685 0.1685 0.8385
3 Se 0.3707 0.3707 0.7475
4 Se 0.5962 0.5962 0.3501

Calculated density = 6.5 g/cm³
Formation energy (no corrections) = 0.04 eV/f.u.
Magnetization = 0.0 Bohr magnetons per cell

2.
SiAu2Se | PBE | relaxed

a = 6.3168 Å, b = 6.3168 Å, c = 6.3168 Å
α = 149.55°, β = 142.76°, γ = 48.84°
Fractional coordinates of all 4 atoms:
1 Si 0.0000 0.0000 0.0000
2 Au 0.1918 0.6918 0.5000
3 Au 0.8082 0.3082 0.5000
4 Se 0.5000 0.5000 0.0000

Calculated density = 10.8 g/cm³
Energy above the lowest structure with this stoichiometry = 230 meV per atom
Formation energy (no corrections) = 1.04 eV/f.u.
Magnetization = 0.0 Bohr magnetons per cell

3.
SiAu2Se | PBE | relaxed

a = 6.2975 Å, b = 6.2975 Å, c = 6.2975 Å
α = 118.31°, β = 118.31°, γ = 92.96°
Fractional coordinates of all 8 atoms:
1 Si 0.0000 0.0000 0.0000
2 Si 0.7500 0.2500 0.5000
3 Au 0.0953 0.1250 0.4703
4 Au 0.3750 0.9047 0.0297
5 Au 0.6547 0.6250 0.5297
6 Au 0.8750 0.3453 0.9703
7 Se 0.2500 0.7500 0.5000
8 Se 0.5000 0.5000 0.0000

Calculated density = 9.2 g/cm³
Energy above the lowest structure with this stoichiometry = 79 meV per atom
Formation energy (no corrections) = 0.44 eV/f.u.
Magnetization = 0.0 Bohr magnetons per cell

4.
SiAuSe2 | PBE | relaxed

a = 4.7712 Å, b = 4.7712 Å, c = 4.7712 Å
α = 60.00°, β = 60.00°, γ = 60.00°
Fractional coordinates of all 4 atoms:
1 Si 0.0000 0.0000 0.0000
2 Au 0.7500 0.7500 0.7500
3 Se 0.2500 0.2500 0.2500
4 Se 0.5000 0.5000 0.5000

Calculated density = 8.3 g/cm³
Formation energy (no corrections) = 2.15 eV/f.u.
Magnetization = 0.0 Bohr magnetons per cell

5.
SiAu3Se | PBE | relaxed

a = 4.9946 Å, b = 4.9946 Å, c = 4.9946 Å
α = 90.00°, β = 90.00°, γ = 90.00°
Fractional coordinates of all 5 atoms:
1 Si 0.0000 0.0000 0.0000
2 Au 0.0000 0.5000 0.5000
3 Au 0.5000 0.0000 0.5000
4 Au 0.5000 0.5000 0.0000
5 Se 0.5000 0.5000 0.5000

Calculated density = 9.3 g/cm³
Energy above the lowest structure with this stoichiometry = 359 meV per atom
Formation energy (no corrections) = 4.34 eV/f.u.
Magnetization = 0.0 Bohr magnetons per cell

6.
SiAuSe | PBE | relaxed

a = 8.5858 Å, b = 8.5858 Å, c = 12.0888 Å
α = 127.38°, β = 127.38°, γ = 38.30°
Fractional coordinates of all 18 atoms:
1 Si 0.0296 0.9704 0.5000
2 Si 0.0443 0.2770 0.3966
3 Si 0.2770 0.0443 0.8966
4 Si 0.7486 0.9166 0.5947
5 Si 0.9166 0.7486 0.0947
6 Si 0.9704 0.0296 0.0000
7 Au 0.2458 0.6465 0.0694
8 Au 0.3878 0.7625 0.9806
9 Au 0.4333 0.7790 0.6792
10 Au 0.6465 0.2458 0.5694
11 Au 0.7625 0.3878 0.4806
12 Au 0.7790 0.4333 0.1792
13 Se 0.0131 0.6573 0.2859
14 Se 0.1766 0.5115 0.6043
15 Se 0.4698 0.8315 0.3966
16 Se 0.5115 0.1766 0.1043
17 Se 0.6573 0.0131 0.7859
18 Se 0.8315 0.4698 0.8966

Calculated density = 7.2 g/cm³
Formation energy (no corrections) = -0.23 eV/f.u.
Magnetization = 0.0 Bohr magnetons per cell

7.
SiAuSe | PBE | relaxed

a = 8.0344 Å, b = 7.9236 Å, c = 2.7852 Å
α = 82.20°, β = 77.71°, γ = 20.09°
Fractional coordinates of all 3 atoms:
1 Si 0.0000 0.0000 0.0000
2 Au 0.3642 0.3642 0.6358
3 Se 0.6838 0.6838 0.3162

Calculated density = 8.6 g/cm³
Formation energy (no corrections) = 1.28 eV/f.u.
Magnetization = 0.0 Bohr magnetons per cell

8.
SiAuSe2 | PBE | relaxed

a = 7.0314 Å, b = 7.0314 Å, c = 7.0314 Å
α = 151.87°, β = 149.70°, γ = 41.82°
Fractional coordinates of all 4 atoms:
1 Si 0.0000 0.0000 0.0000
2 Au 0.2435 0.7435 0.5000
3 Se 0.5882 0.5882 0.0000
4 Se 0.8603 0.3603 0.5000

Calculated density = 7.7 g/cm³
Formation energy (no corrections) = 0.86 eV/f.u.
Magnetization = 0.0 Bohr magnetons per cell